A plane-wave DFT calculation with PBE-GGA was carried out for a relaxed Pm2NdDy6Er3 crystal.

Symmetry: C2/m

a = 6.171 Å, b = 6.171 Å, c = 11.795 Å
α = 94.99°, β = 94.99°, γ = 119.96°
Positions (direct):
Pm  0.167  0.833  0.000
Pm  0.833  0.167  0.000
Nd  0.500  0.500  0.000
Dy  0.081  0.414  0.746
Dy  0.252  0.252  0.254
Dy  0.414  0.081  0.746
Dy  0.586  0.919  0.254
Dy  0.748  0.748  0.746
Dy  0.919  0.586  0.254
Er  0.000  0.000  0.500
Er  0.333  0.667  0.500
Er  0.667  0.333  0.500

A plane-wave DFT calculation with PBE-GGA was carried out for a relaxed Pm2Nd2Dy4Er crystal.

Symmetry: C2/m

a = 9.579 Å, b = 9.579 Å, c = 9.643 Å
α = 115.23°, β = 115.23°, γ = 21.82°
Positions (direct):
Pm  0.147  0.147  0.163
Pm  0.853  0.853  0.837
Nd  0.335  0.335  0.499
Nd  0.665  0.665  0.501
Dy  0.185  0.185  0.835
Dy  0.481  0.481  0.169
Dy  0.519  0.519  0.831
Dy  0.815  0.815  0.165
Er  0.000  0.000  0.500

A plane-wave DFT calculation with PBE-GGA was carried out for a relaxed PmNdDyEr2 crystal.

Symmetry: Cmcm

a = 8.902 Å, b = 8.902 Å, c = 6.406 Å
α = 90.00°, β = 90.00°, γ = 137.75°
Positions (direct):
Pm  0.157  0.843  0.750
Pm  0.843  0.157  0.250
Nd  0.343  0.657  0.750
Nd  0.657  0.343  0.250
Dy  0.233  0.767  0.250
Dy  0.767  0.233  0.750
Er  0.247  0.247  0.000
Er  0.247  0.247  0.500
Er  0.753  0.753  0.000
Er  0.753  0.753  0.500

A plane-wave DFT calculation with PBE-GGA was carried out for a relaxed Pm2Nd4Dy2Er crystal.

Symmetry: C2/m

a = 8.118 Å, b = 8.118 Å, c = 8.082 Å
α = 107.60°, β = 107.60°, γ = 36.87°
Positions (direct):
Pm  0.112  0.112  0.170
Pm  0.888  0.888  0.830
Nd  0.222  0.222  0.830
Nd  0.445  0.445  0.169
Nd  0.555  0.555  0.831
Nd  0.778  0.778  0.170
Dy  0.334  0.334  0.500
Dy  0.666  0.666  0.500
Er  0.000  0.000  0.500

A plane-wave DFT calculation with PBE-GGA was carried out for a relaxed PmNd2DyEr crystal.

Symmetry: P2/c

a = 8.227 Å, b = 6.748 Å, c = 6.194 Å
α = 90.00°, β = 90.15°, γ = 90.00°
Positions (direct):
Pm  0.000  0.000  0.000
Pm  0.000  0.000  0.500
Nd  0.305  0.308  0.249
Nd  0.305  0.692  0.749
Nd  0.695  0.308  0.251
Nd  0.695  0.692  0.751
Dy  0.000  0.421  0.750
Dy  0.000  0.579  0.250
Er  0.500  0.157  0.750
Er  0.500  0.843  0.250

A plane-wave DFT calculation with PBE-GGA was carried out for a relaxed Pm3Nd6Dy2Er crystal.

Symmetry: C2/m

a = 6.312 Å, b = 6.312 Å, c = 11.994 Å
α = 95.03°, β = 95.03°, γ = 120.01°
Positions (direct):
Pm  0.000  0.000  0.000
Pm  0.333  0.667  0.000
Pm  0.667  0.333  0.000
Nd  0.084  0.417  0.254
Nd  0.250  0.250  0.747
Nd  0.417  0.084  0.254
Nd  0.583  0.916  0.746
Nd  0.750  0.750  0.253
Nd  0.916  0.583  0.746
Dy  0.167  0.833  0.500
Dy  0.833  0.167  0.500
Er  0.500  0.500  0.500

A plane-wave DFT calculation with PBE-GGA was carried out for a relaxed Pm2NdDy6Er crystal.

Symmetry: C2/c

a = 8.796 Å, b = 8.796 Å, c = 9.676 Å
α = 94.30°, β = 94.30°, γ = 117.97°
Positions (direct):
Pm  0.196  0.299  0.044
Pm  0.299  0.196  0.544
Pm  0.701  0.804  0.456
Pm  0.804  0.701  0.956
Nd  0.020  0.980  0.250
Nd  0.980  0.020  0.750
Dy  0.019  0.571  0.186
Dy  0.124  0.743  0.557
Dy  0.257  0.876  0.943
Dy  0.294  0.507  0.381
Dy  0.429  0.981  0.314
Dy  0.493  0.706  0.119
Dy  0.507  0.294  0.881
Dy  0.571  0.019  0.686
Dy  0.706  0.493  0.619
Dy  0.743  0.124  0.057
Dy  0.876  0.257  0.443
Dy  0.981  0.429  0.814
Er  0.408  0.592  0.750
Er  0.592  0.408  0.250

A plane-wave DFT calculation with PBE-GGA was carried out for a relaxed Pm5NdDy2Er crystal.

Symmetry: Cmc2_1

a = 10.552 Å, b = 10.552 Å, c = 10.737 Å
α = 90.00°, β = 90.00°, γ = 148.92°
Positions (direct):
Pm  0.017  0.983  0.500
Pm  0.281  0.719  0.786
Pm  0.298  0.702  0.182
Pm  0.392  0.608  0.502
Pm  0.480  0.520  0.219
Pm  0.520  0.480  0.719
Pm  0.608  0.392  0.002
Pm  0.702  0.298  0.682
Pm  0.719  0.281  0.286
Pm  0.983  0.017  0.000
Nd  0.202  0.798  0.487
Nd  0.798  0.202  0.987
Dy  0.110  0.890  0.215
Dy  0.116  0.884  0.795
Dy  0.884  0.116  0.295
Dy  0.890  0.110  0.715
Er  0.411  0.589  0.936
Er  0.589  0.411  0.436

A plane-wave DFT calculation with PBE-GGA was carried out for a relaxed Pm6Nd2DyEr3 crystal.

Symmetry: C2/m

a = 6.262 Å, b = 6.262 Å, c = 11.919 Å
α = 95.01°, β = 95.01°, γ = 120.00°
Positions (direct):
Pm  0.085  0.417  0.754
Pm  0.248  0.248  0.246
Pm  0.417  0.085  0.754
Pm  0.583  0.915  0.246
Pm  0.752  0.752  0.754
Pm  0.915  0.583  0.246
Nd  0.333  0.667  0.500
Nd  0.667  0.333  0.500
Dy  0.000  0.000  0.500
Er  0.166  0.834  0.000
Er  0.500  0.500  0.000
Er  0.834  0.166  0.000

A plane-wave DFT calculation with PBE-GGA was carried out for a relaxed PmNdDyEr crystal.

Symmetry: F-43m
Energy above the most stable polymorph in this dataset, meV/atom: 96

a = 8.093 Å, b = 8.093 Å, c = 8.093 Å
α = 90.00°, β = 90.00°, γ = 90.00°
Positions (direct):
Pm  0.000  0.000  0.000
Pm  0.000  0.500  0.500
Pm  0.500  0.000  0.500
Pm  0.500  0.500  0.000
Nd  0.000  0.000  0.500
Nd  0.000  0.500  0.000
Nd  0.500  0.000  0.000
Nd  0.500  0.500  0.500
Dy  0.250  0.250  0.250
Dy  0.250  0.750  0.750
Dy  0.750  0.250  0.750
Dy  0.750  0.750  0.250
Er  0.250  0.250  0.750
Er  0.250  0.750  0.250
Er  0.750  0.250  0.250
Er  0.750  0.750  0.750

A plane-wave DFT calculation with PBE-GGA was carried out for a relaxed Pm6NdDy3Er2 crystal.

Symmetry: C2/m

a = 6.246 Å, b = 6.246 Å, c = 11.884 Å
α = 95.01°, β = 95.01°, γ = 119.98°
Positions (direct):
Pm  0.082  0.416  0.249
Pm  0.250  0.250  0.751
Pm  0.416  0.082  0.249
Pm  0.584  0.918  0.751
Pm  0.750  0.750  0.249
Pm  0.918  0.584  0.751
Nd  0.500  0.500  0.500
Dy  0.000  0.000  0.000
Dy  0.333  0.667  0.000
Dy  0.667  0.333  0.000
Er  0.167  0.833  0.500
Er  0.833  0.167  0.500

A plane-wave DFT calculation with PBE-GGA was carried out for a relaxed Pm6NdDy2Er crystal.

Symmetry: C2/c

a = 8.930 Å, b = 8.930 Å, c = 9.650 Å
α = 93.63°, β = 93.63°, γ = 117.56°
Positions (direct):
Pm  0.011  0.564  0.186
Pm  0.119  0.757  0.555
Pm  0.243  0.881  0.945
Pm  0.292  0.511  0.382
Pm  0.436  0.989  0.314
Pm  0.489  0.708  0.118
Pm  0.511  0.292  0.882
Pm  0.564  0.011  0.686
Pm  0.708  0.489  0.618
Pm  0.757  0.119  0.055
Pm  0.881  0.243  0.445
Pm  0.989  0.436  0.814
Nd  0.027  0.973  0.250
Nd  0.973  0.027  0.750
Dy  0.202  0.302  0.047
Dy  0.302  0.202  0.547
Dy  0.698  0.798  0.453
Dy  0.798  0.698  0.953
Er  0.411  0.589  0.750
Er  0.589  0.411  0.250

A plane-wave DFT calculation with PBE-GGA was carried out for a relaxed PmNdDy5Er2 crystal.

Symmetry: Cmc2_1

a = 10.314 Å, b = 10.314 Å, c = 10.589 Å
α = 90.00°, β = 90.00°, γ = 148.43°
Positions (direct):
Pm  0.201  0.799  0.500
Pm  0.799  0.201  0.000
Nd  0.417  0.583  0.938
Nd  0.583  0.417  0.438
Dy  0.017  0.983  0.514
Dy  0.282  0.718  0.798
Dy  0.299  0.701  0.196
Dy  0.391  0.609  0.512
Dy  0.478  0.522  0.224
Dy  0.522  0.478  0.724
Dy  0.609  0.391  0.012
Dy  0.701  0.299  0.696
Dy  0.718  0.282  0.298
Dy  0.983  0.017  0.014
Er  0.110  0.890  0.223
Er  0.114  0.886  0.809
Er  0.886  0.114  0.309
Er  0.890  0.110  0.723

A plane-wave DFT calculation with PBE-GGA was carried out for a relaxed Pm3Nd2Dy6Er crystal.

Symmetry: C2/m

a = 6.220 Å, b = 6.220 Å, c = 11.858 Å
α = 95.00°, β = 95.00°, γ = 119.98°
Positions (direct):
Pm  0.000  0.000  0.000
Pm  0.333  0.667  0.000
Pm  0.667  0.333  0.000
Nd  0.166  0.834  0.500
Nd  0.834  0.166  0.500
Dy  0.084  0.417  0.251
Dy  0.251  0.251  0.750
Dy  0.417  0.084  0.251
Dy  0.583  0.916  0.749
Dy  0.749  0.749  0.250
Dy  0.916  0.583  0.749
Er  0.500  0.500  0.500

A plane-wave DFT calculation with PBE-GGA was carried out for a relaxed PmNd2Dy3Er6 crystal.

Symmetry: C2/m

a = 6.165 Å, b = 6.165 Å, c = 11.731 Å
α = 95.01°, β = 95.01°, γ = 119.97°
Positions (direct):
Pm  0.000  0.000  0.000
Nd  0.333  0.667  0.000
Nd  0.667  0.333  0.000
Dy  0.167  0.833  0.500
Dy  0.500  0.500  0.500
Dy  0.833  0.167  0.500
Er  0.085  0.418  0.253
Er  0.248  0.248  0.747
Er  0.418  0.085  0.253
Er  0.582  0.915  0.747
Er  0.752  0.752  0.253
Er  0.915  0.582  0.747

A plane-wave DFT calculation with PBE-GGA was carried out for a relaxed PmNd3Dy6Er2 crystal.

Symmetry: C2/m

a = 6.203 Å, b = 6.203 Å, c = 11.841 Å
α = 94.99°, β = 94.99°, γ = 119.98°
Positions (direct):
Pm  0.000  0.000  0.000
Nd  0.167  0.833  0.500
Nd  0.500  0.500  0.500
Nd  0.833  0.167  0.500
Dy  0.083  0.417  0.247
Dy  0.251  0.251  0.753
Dy  0.417  0.083  0.247
Dy  0.583  0.917  0.753
Dy  0.749  0.749  0.247
Dy  0.917  0.583  0.753
Er  0.333  0.667  0.000
Er  0.667  0.333  0.000

A plane-wave DFT calculation with PBE-GGA was carried out for a relaxed Pm2NdDy3Er6 crystal.

Symmetry: C2/m

a = 6.159 Å, b = 6.159 Å, c = 11.726 Å
α = 95.01°, β = 95.01°, γ = 119.96°
Positions (direct):
Pm  0.167  0.833  0.000
Pm  0.833  0.167  0.000
Nd  0.500  0.500  0.000
Dy  0.000  0.000  0.500
Dy  0.333  0.667  0.500
Dy  0.667  0.333  0.500
Er  0.081  0.415  0.747
Er  0.252  0.252  0.253
Er  0.415  0.081  0.747
Er  0.585  0.919  0.253
Er  0.748  0.748  0.747
Er  0.919  0.585  0.253

A plane-wave DFT calculation with PBE-GGA was carried out for a relaxed PmNd5DyEr2 crystal.

Symmetry: Cmc2_1

a = 10.597 Å, b = 10.597 Å, c = 10.748 Å
α = 90.00°, β = 90.00°, γ = 149.00°
Positions (direct):
Pm  0.201  0.799  0.500
Pm  0.799  0.201  0.000
Nd  0.016  0.984  0.512
Nd  0.281  0.719  0.800
Nd  0.296  0.704  0.194
Nd  0.390  0.610  0.515
Nd  0.480  0.520  0.233
Nd  0.520  0.480  0.733
Nd  0.610  0.390  0.015
Nd  0.704  0.296  0.694
Nd  0.719  0.281  0.300
Nd  0.984  0.016  0.012
Dy  0.410  0.590  0.949
Dy  0.590  0.410  0.449
Er  0.110  0.890  0.230
Er  0.116  0.884  0.806
Er  0.884  0.116  0.306
Er  0.890  0.110  0.730

A plane-wave DFT calculation with PBE-GGA was carried out for a relaxed PmNd6Dy2Er crystal.

Symmetry: C2/c

a = 8.971 Å, b = 8.971 Å, c = 9.688 Å
α = 93.73°, β = 93.73°, γ = 117.59°
Positions (direct):
Pm  0.027  0.973  0.750
Pm  0.973  0.027  0.250
Nd  0.009  0.564  0.687
Nd  0.118  0.759  0.055
Nd  0.241  0.882  0.445
Nd  0.293  0.511  0.882
Nd  0.436  0.991  0.813
Nd  0.489  0.707  0.618
Nd  0.511  0.293  0.382
Nd  0.564  0.009  0.187
Nd  0.707  0.489  0.118
Nd  0.759  0.118  0.555
Nd  0.882  0.241  0.945
Nd  0.991  0.436  0.313
Dy  0.202  0.300  0.547
Dy  0.300  0.202  0.047
Dy  0.700  0.798  0.953
Dy  0.798  0.700  0.453
Er  0.411  0.589  0.250
Er  0.589  0.411  0.750

A plane-wave DFT calculation with PBE-GGA was carried out for a relaxed PmNdDyEr crystal.

Symmetry: I-4m2
Energy above the most stable polymorph in this dataset, meV/atom: 0

a = 5.093 Å, b = 5.093 Å, c = 10.134 Å
α = 90.00°, β = 90.00°, γ = 90.00°
Positions (direct):
Pm  0.000  0.000  0.000
Pm  0.500  0.500  0.500
Nd  0.000  0.500  0.250
Nd  0.500  0.000  0.750
Dy  0.000  0.500  0.750
Dy  0.500  0.000  0.250
Er  0.000  0.000  0.500
Er  0.500  0.500  0.000

Summary of ΔE_f in eV/atom
0.0186; 0.0048; 0.3465; 0.0196; 0.2705; 0.0137; 0.1161; 0.1447; 0.0156; 0.1152; 0.0138; 0.1152; 0.1595; 0.0137; 0.0193; 0.0171; 0.0190; 0.1457; 0.1145; 0.0187
(order as listed above)
Summary of E_tot in Ry/atom
-0.339; -0.343; -0.316; -0.344; -0.325; -0.346; -0.333; -0.335; -0.344; -0.335; -0.343; -0.337; -0.328; -0.342; -0.338; -0.340; -0.338; -0.335; -0.338; -0.342
(order as listed above)